VAg: relaxed, PBE.

Values from the calculation:
DFT total energy: -5.55 eV per atom
calculated volume: 35.9 Å³/f.u.
E_form: 438 meV per atom

a b c (Å): 6.2367 6.2367 6.2367
angles (deg): 96.36 96.36 141.12
Closest atoms and distances in Å follow each position.
Sites, in units of the cell vectors:
V 0.0000 0.3650 0.3650  1 V 2.25
V 0.0000 0.6350 0.6350  1 V 2.25
V 0.3650 0.0000 0.3650  1 V 2.25
V 0.6350 0.0000 0.6350  1 V 2.25
Ag 0.3331 0.3331 0.6662  4 Ag 2.78-2.85, 6 V 2.78-2.99
Ag 0.3331 0.6669 0.0000  4 Ag 2.78-2.85, 6 V 2.78-2.99
Ag 0.6669 0.3331 0.0000  4 Ag 2.78-2.85, 6 V 2.78-2.99
Ag 0.6669 0.6669 0.3338  4 Ag 2.78-2.85, 6 V 2.78-2.99

=====

Mn2W2Au: relaxed, PBE.

Values from the calculation:
DFT total energy: -8.99 eV per atom
calculated volume: 79.9 Å³/f.u.
E above lowest polymorph: 22.3 kJ per mole of atoms
E_form: 519 meV per atom

a b c (Å): 5.6707 5.6707 5.6707
angles (deg): 138.28 138.28 60.48
Closest atoms and distances in Å follow each position.
Sites, in units of the cell vectors:
Mn 0.1133 0.1133 0.0000  1 Mn 2.22, 4 W 2.42
Mn 0.8867 0.8867 0.0000  1 Mn 2.22, 4 W 2.42
W 0.2500 0.7500 0.5000  4 Mn 2.42
W 0.7500 0.2500 0.5000  4 Mn 2.42
Au 0.5000 0.5000 0.0000  8 Mn 3.06, 8 W 3.17

=====

Ho3Mg4Au4: relaxed, PBE.

Values from the calculation:
DFT total energy: -3.66 eV per atom
calculated volume: 247.3 Å³/f.u.
E_form: -645 meV per atom

a b c (Å): 9.0490 9.0490 9.0490
angles (deg): 155.19 126.86 59.50
Closest atoms and distances in Å follow each position.
Sites, in units of the cell vectors:
Ho 0.0000 0.0000 0.0000  4 Au 3.08
Ho 0.3906 0.8906 0.5000  6 Au 3.01-3.08, 4 Mg 3.32
Ho 0.6094 0.1094 0.5000  6 Au 3.01-3.08, 4 Mg 3.32
Mg 0.0189 0.3298 0.6891  4 Au 2.74-2.85, 1 Mg 3.06
Mg 0.3593 0.6702 0.6891  4 Au 2.74-2.85, 1 Mg 3.06
Mg 0.6407 0.3298 0.3109  4 Au 2.74-2.85, 1 Mg 3.06
Mg 0.9811 0.6702 0.3109  4 Au 2.74-2.85, 1 Mg 3.06
Au 0.2444 0.2444 0.0000  6 Mg 2.74-2.85, 2 Ho 3.01
Au 0.2952 0.5000 0.7952  2 Mg 2.81, 6 Ho 3.08
Au 0.7048 0.5000 0.2048  2 Mg 2.81, 6 Ho 3.08
Au 0.7556 0.7556 0.0000  6 Mg 2.74-2.85, 2 Ho 3.01

=====

CuBiAs2: relaxed, PBE.

Values from the calculation:
DFT total energy: -4.18 eV per atom
calculated volume: 86.3 Å³/f.u.
E_form: 136 meV per atom

a b c (Å): 6.7490 6.7490 6.7490
angles (deg): 34.14 34.14 34.14
Closest atoms and distances in Å follow each position.
Sites, in units of the cell vectors:
Cu 0.0000 0.0000 0.0000  6 As 2.53-2.57
Bi 0.1649 0.1649 0.1649  6 As 3.02-3.13, 1 Cu 3.14
As 0.3945 0.3945 0.3945  3 Cu 2.57
As 0.6106 0.6106 0.6106  3 Cu 2.53

=====

Na4In3: relaxed, PBE.

Values from the calculation:
DFT total energy: -2.03 eV per atom
calculated volume: 192.4 Å³/f.u.
E_form: -102 meV per atom

a b c (Å): 5.8439 5.8439 7.5707
angles (deg): 98.73 98.73 49.01
Closest atoms and distances in Å follow each position.
Sites, in units of the cell vectors:
Na 0.0000 0.0000 0.0000  5 In 3.29-3.49, 7 Na 3.37-3.56
Na 0.4159 0.4159 0.3052  6 Na 3.28-3.56, 6 In 3.37-3.48
Na 0.5663 0.5663 0.7203  8 In 3.23-3.45, 4 Na 3.28-3.42
Na 0.7094 0.7094 0.1601  5 In 3.31-3.56, 7 Na 3.33-3.50
In 0.1337 0.1337 0.4528  4 In 3.18-3.45, 8 Na 3.31-3.49
In 0.2881 0.2881 0.8510  3 In 3.18-3.24, 9 Na 3.27-3.56
In 0.8398 0.8398 0.5883  7 Na 3.23-3.45, 5 In 3.24-3.45

=====

Cu2ReCl: relaxed, PBE.

Values from the calculation:
DFT total energy: -4.74 eV per atom
calculated volume: 60.9 Å³/f.u.
E above lowest polymorph: 52.6 kJ per mole of atoms
E_form (uncorrected): 0.882 eV per atom

a b c (Å): 4.8507 4.8507 2.5880
angles (deg): 90.00 90.00 90.00
Closest atoms and distances in Å follow each position.
Sites, in units of the cell vectors:
Cu 0.0000 0.5000 0.0000  2 Cu 2.59, 4 Cl 2.75, 4 Re 2.75
Cu 0.5000 0.0000 0.0000  2 Cu 2.59, 4 Cl 2.75, 4 Re 2.75
Re 0.0000 0.0000 0.5000  2 Re 2.59, 8 Cu 2.75
Cl 0.5000 0.5000 0.5000  2 Cl 2.59, 8 Cu 2.75

=====

PuZrB: relaxed, PBE.

Values from the calculation:
DFT total energy: -10.17 eV per atom
calculated volume: 46.1 Å³/f.u.
E_form: -316 meV per atom

a b c (Å): 8.6455 8.6455 3.1899
angles (deg): 90.00 90.00 157.26
Closest atoms and distances in Å follow each position.
Sites, in units of the cell vectors:
Pu 0.2254 0.7746 0.7500  4 Pu 2.48
Pu 0.7746 0.2254 0.2500  4 Pu 2.48
Zr 0.4177 0.5823 0.7500  6 B 2.48-2.54
Zr 0.5823 0.4177 0.2500  6 B 2.48-2.54
B 0.0237 0.9763 0.7500  2 B 1.79
B 0.9763 0.0237 0.2500  2 B 1.79

=====

Eu2PaP: relaxed, PBE.

Values from the calculation:
DFT total energy: -8.96 eV per atom
calculated volume: 115.3 Å³/f.u.
E_form: -98 meV per atom

a b c (Å): 9.9104 9.9104 9.9104
angles (deg): 21.57 21.57 21.57
Closest atoms and distances in Å follow each position.
Sites, in units of the cell vectors:
Eu 0.2293 0.2293 0.2293  3 P 2.81
Eu 0.7707 0.7707 0.7707  3 P 2.81
Pa 0.0000 0.0000 0.0000  6 Eu 3.70, 6 Pa 3.71
P 0.5000 0.5000 0.5000  6 Eu 2.81

=====

VFeBr3: relaxed, PBE.

Values from the calculation:
DFT total energy: -4.29 eV per atom
calculated volume: 136.6 Å³/f.u.
E_form (uncorrected): 0.235 eV per atom

a b c (Å): 5.1497 5.1497 5.1497
angles (deg): 90.00 90.00 90.00
Closest atoms and distances in Å follow each position.
Sites, in units of the cell vectors:
V 0.0000 0.0000 0.0000  6 Br 2.57
Fe 0.5000 0.5000 0.5000  12 Br 3.64
Br 0.0000 0.0000 0.5000  2 V 2.57
Br 0.0000 0.5000 0.0000  2 V 2.57
Br 0.5000 0.0000 0.0000  2 V 2.57

=====

no.,spin magnetization (μB per formula unit)
1,0.0
2,0.0
3,0.0
4,0.0
5,0.0
6,1.1
7,0.0
8,13.4
9,6.9